The following is a PBE calculation of a geometry-optimized TlCu2Pt2 structure, from OQMD.

Magnetization, Bohr magnetons per cell: 0.001
Calculated volume, Å³/cell: 85.22
Uncorrected energy, eV for the cell shown: -21.3
Energy above the most stable polymorph in this dataset, kcal/mol of atoms: 0.00

abc: 6.478 6.478 6.478
angles: 145.86 145.86 49.05
Fractional coordinates of all 5 atoms:
Tl: 0.000 0.000 0.000
Cu: 0.250 0.750 0.500
Cu: 0.750 0.250 0.500
Pt: 0.389 0.389 0.000
Pt: 0.611 0.611 0.000